1.
Tm7Sn2Os2 (PBE-GGA, optimized geometry); DFT formation energy = -0.307 eV/atom
1.0
4.097 -5.296 0.000
4.097 5.296 0.000
0.000 0.000 7.098
Tm Sn Os
7 2 2
direct
0.000 0.000 0.000 Tm
0.000 0.500 0.244 Tm
0.000 0.500 0.756 Tm
0.500 0.000 0.244 Tm
0.500 0.000 0.756 Tm
0.500 0.500 0.231 Tm
0.500 0.500 0.769 Tm
0.183 0.183 0.500 Sn
0.817 0.817 0.500 Sn
0.286 0.714 0.000 Os
0.714 0.286 0.000 Os

2.
Tm6SnOs2 (PBE-GGA, optimized geometry); DFT formation energy = -0.416 eV/atom
1.0
-4.659 4.695 5.178
4.659 -4.695 5.178
4.659 4.695 -5.178
Tm Sn Os
12 2 4
direct
0.032 0.243 0.789 Tm
0.184 0.284 0.467 Tm
0.184 0.716 0.900 Tm
0.333 0.020 0.687 Tm
0.333 0.646 0.313 Tm
0.453 0.243 0.211 Tm
0.547 0.757 0.789 Tm
0.667 0.354 0.687 Tm
0.667 0.980 0.313 Tm
0.816 0.284 0.100 Tm
0.816 0.716 0.533 Tm
0.968 0.757 0.211 Tm
0.000 0.000 0.000 Sn
0.500 0.500 0.000 Sn
0.124 0.624 0.500 Os
0.330 0.000 0.330 Os
0.670 0.000 0.670 Os
0.876 0.376 0.500 Os

3.
Tm8Sn2Os (PBE-GGA, optimized geometry); DFT formation energy = -0.362 eV/atom
1.0
9.564 -2.481 0.000
9.564 2.481 0.000
-1.854 0.000 6.265
Tm Sn Os
8 2 1
direct
0.022 0.022 0.291 Tm
0.219 0.219 0.820 Tm
0.355 0.355 0.502 Tm
0.412 0.412 0.049 Tm
0.588 0.588 0.951 Tm
0.645 0.645 0.498 Tm
0.781 0.781 0.180 Tm
0.978 0.978 0.709 Tm
0.181 0.181 0.254 Sn
0.819 0.819 0.746 Sn
0.500 0.500 0.500 Os

4.
Tm4SnOs (PBE-GGA, optimized geometry); DFT formation energy = -0.481 eV/atom
1.0
4.401 -6.623 0.000
4.401 6.623 0.000
-2.415 0.000 5.548
Tm Sn Os
8 2 2
direct
0.056 0.721 0.936 Tm
0.209 0.349 0.658 Tm
0.279 0.944 0.564 Tm
0.349 0.209 0.158 Tm
0.651 0.791 0.842 Tm
0.721 0.056 0.436 Tm
0.791 0.651 0.342 Tm
0.944 0.279 0.064 Tm
0.370 0.630 0.250 Sn
0.630 0.370 0.750 Sn
0.000 0.000 0.250 Os
0.000 0.000 0.750 Os

5.
TmSn2Os (PBE-GGA, optimized geometry); DFT formation energy = -0.136 eV/atom
1.0
4.507 0.000 0.000
-2.253 3.903 0.000
0.000 0.000 14.823
Tm Sn Os
3 6 3
direct
0.000 0.000 0.000 Tm
0.333 0.667 0.667 Tm
0.667 0.333 0.333 Tm
0.000 0.000 0.228 Sn
0.000 0.000 0.772 Sn
0.333 0.667 0.438 Sn
0.333 0.667 0.895 Sn
0.667 0.333 0.105 Sn
0.667 0.333 0.562 Sn
0.000 0.000 0.500 Os
0.333 0.667 0.167 Os
0.667 0.333 0.833 Os

6.
Tm5SnOs2 (PBE-GGA, optimized geometry); DFT formation energy = -0.444 eV/atom
1.0
-3.741 3.741 7.179
3.741 -3.741 7.179
3.741 3.741 -7.179
Tm Sn Os
10 2 4
direct
0.000 0.000 0.000 Tm
0.042 0.542 0.848 Tm
0.194 0.042 0.500 Tm
0.306 0.806 0.848 Tm
0.458 0.306 0.500 Tm
0.500 0.500 0.000 Tm
0.542 0.694 0.500 Tm
0.694 0.194 0.152 Tm
0.806 0.958 0.500 Tm
0.958 0.458 0.152 Tm
0.250 0.250 0.000 Sn
0.750 0.750 0.000 Sn
0.121 0.379 0.500 Os
0.379 0.879 0.258 Os
0.621 0.121 0.742 Os
0.879 0.621 0.500 Os

7.
Tm3SnOs (PBE-GGA, optimized geometry); DFT formation energy = -0.452 eV/atom
1.0
4.537 0.000 0.000
0.000 4.747 0.000
-2.215 0.000 11.354
Tm Sn Os
6 2 2
direct
0.056 0.250 0.105 Tm
0.178 0.750 0.352 Tm
0.322 0.750 0.648 Tm
0.678 0.250 0.352 Tm
0.822 0.250 0.648 Tm
0.944 0.750 0.895 Tm
0.431 0.250 0.868 Sn
0.569 0.750 0.132 Sn
0.249 0.250 0.497 Os
0.751 0.750 0.503 Os

8.
Tm2SnOs (PBE-GGA, optimized geometry); energy above the most stable polymorph in this dataset = 0.0000 eV per atom; DFT formation energy = -0.504 eV/atom
1.0
3.354 0.000 0.000
0.000 3.354 0.000
0.000 0.000 8.081
Tm Sn Os
2 1 1
direct
0.000 0.000 0.204 Tm
0.000 0.000 0.796 Tm
0.500 0.500 0.500 Sn
0.500 0.500 0.000 Os

9.
Tm2SnOs (PBE-GGA, optimized geometry); energy above the most stable polymorph in this dataset = 0.1570 eV per atom; DFT formation energy = -0.347 eV/atom
1.0
4.849 0.000 0.000
0.000 4.849 0.000
0.000 0.000 3.706
Tm Sn Os
2 1 1
direct
0.000 0.500 0.000 Tm
0.500 0.000 0.000 Tm
0.000 0.000 0.500 Sn
0.500 0.500 0.500 Os

10.
VSn3Os (PBE-GGA, optimized geometry); energy above the most stable polymorph in this dataset = 0.4372 eV per atom; DFT formation energy = 1.285 eV/atom
1.0
5.072 0.000 0.000
0.000 5.072 0.000
0.000 0.000 5.072
V Sn Os
1 3 1
direct
0.000 0.000 0.000 V
0.000 0.000 0.500 Sn
0.000 0.500 0.000 Sn
0.500 0.000 0.000 Sn
0.500 0.500 0.500 Os

11.
VSn2Os (PBE-GGA, optimized geometry); energy above the most stable polymorph in this dataset = 0.0000 eV per atom; DFT formation energy = 0.250 eV/atom
1.0
6.571 0.000 0.000
0.000 6.571 0.000
0.000 0.000 6.571
V Sn Os
4 8 4
direct
0.000 0.000 0.000 V
0.000 0.500 0.500 V
0.500 0.000 0.500 V
0.500 0.500 0.000 V
0.250 0.250 0.250 Sn
0.250 0.250 0.750 Sn
0.250 0.750 0.250 Sn
0.250 0.750 0.750 Sn
0.750 0.250 0.250 Sn
0.750 0.250 0.750 Sn
0.750 0.750 0.250 Sn
0.750 0.750 0.750 Sn
0.000 0.000 0.500 Os
0.000 0.500 0.000 Os
0.500 0.000 0.000 Os
0.500 0.500 0.500 Os

12.
V2SnOs2 (PBE-GGA, optimized geometry); DFT formation energy = 0.016 eV/atom
1.0
7.401 0.000 0.000
0.000 7.401 0.000
0.000 0.000 2.900
V Sn Os
4 2 4
direct
0.155 0.345 0.000 V
0.345 0.845 0.000 V
0.655 0.155 0.000 V
0.845 0.655 0.000 V
0.000 0.000 0.500 Sn
0.500 0.500 0.500 Sn
0.133 0.633 0.500 Os
0.367 0.133 0.500 Os
0.633 0.867 0.500 Os
0.867 0.367 0.500 Os

13.
VSnOs2 (PBE-GGA, optimized geometry); DFT formation energy = 0.708 eV/atom
1.0
4.087 0.000 0.000
0.000 4.087 0.000
0.000 0.000 17.269
V Sn Os
4 4 8
direct
0.000 0.000 0.000 V
0.000 0.500 0.250 V
0.500 0.000 0.750 V
0.500 0.500 0.500 V
0.000 0.000 0.500 Sn
0.000 0.500 0.750 Sn
0.500 0.000 0.250 Sn
0.500 0.500 0.000 Sn
0.187 0.250 0.125 Os
0.250 0.687 0.375 Os
0.250 0.813 0.875 Os
0.313 0.250 0.625 Os
0.687 0.750 0.625 Os
0.750 0.187 0.875 Os
0.750 0.313 0.375 Os
0.813 0.750 0.125 Os

14.
VSn3Os (PBE-GGA, optimized geometry); energy above the most stable polymorph in this dataset = 0.0000 eV per atom; DFT formation energy = 0.848 eV/atom
1.0
5.139 0.000 0.000
0.000 5.139 0.000
0.000 0.000 5.139
V Sn Os
1 3 1
direct
0.000 0.000 0.000 V
0.000 0.500 0.500 Sn
0.500 0.000 0.500 Sn
0.500 0.500 0.000 Sn
0.500 0.500 0.500 Os

15.
VSn2Os (PBE-GGA, optimized geometry); energy above the most stable polymorph in this dataset = 0.4519 eV per atom; DFT formation energy = 0.702 eV/atom
1.0
4.080 0.000 0.000
0.000 4.080 0.000
0.000 0.000 19.113
V Sn Os
4 8 4
direct
0.000 0.000 0.000 V
0.000 0.500 0.250 V
0.500 0.000 0.750 V
0.500 0.500 0.500 V
0.249 0.250 0.125 Sn
0.250 0.749 0.375 Sn
0.250 0.751 0.875 Sn
0.251 0.250 0.625 Sn
0.749 0.750 0.625 Sn
0.750 0.249 0.875 Sn
0.750 0.251 0.375 Sn
0.751 0.750 0.125 Sn
0.000 0.000 0.500 Os
0.000 0.500 0.750 Os
0.500 0.000 0.250 Os
0.500 0.500 0.000 Os

16.
V12Sn3Os (PBE-GGA, optimized geometry); DFT formation energy = -0.133 eV/atom
1.0
4.904 0.000 0.000
0.000 4.910 0.000
0.000 0.000 9.870
V Sn Os
12 3 1
direct
0.000 0.000 0.115 V
0.000 0.000 0.370 V
0.000 0.000 0.630 V
0.000 0.000 0.885 V
0.241 0.500 0.239 V
0.241 0.500 0.761 V
0.500 0.242 0.500 V
0.500 0.259 0.000 V
0.500 0.741 0.000 V
0.500 0.758 0.500 V
0.759 0.500 0.239 V
0.759 0.500 0.761 V
0.000 0.500 0.500 Sn
0.500 0.000 0.249 Sn
0.500 0.000 0.751 Sn
0.000 0.500 0.000 Os

17.
VSn2Os (PBE-GGA, optimized geometry); energy above the most stable polymorph in this dataset = 0.4452 eV per atom; DFT formation energy = 0.695 eV/atom
1.0
3.092 0.000 0.000
-1.546 2.677 0.000
0.000 0.000 29.049
V Sn Os
3 6 3
direct
0.000 0.000 0.000 V
0.333 0.667 0.667 V
0.667 0.333 0.333 V
0.000 0.000 0.094 Sn
0.000 0.000 0.906 Sn
0.333 0.667 0.573 Sn
0.333 0.667 0.761 Sn
0.667 0.333 0.239 Sn
0.667 0.333 0.427 Sn
0.000 0.000 0.500 Os
0.333 0.667 0.167 Os
0.667 0.333 0.833 Os

18.
V2SnOsW (PBE-GGA, optimized geometry); DFT formation energy = 2.317 eV/atom
1.0
4.694 0.000 0.000
0.000 4.694 0.000
0.000 0.000 4.738
V Sn Os W
2 1 1 1
direct
0.000 0.500 0.000 V
0.500 0.000 0.000 V
0.000 0.000 0.000 Sn
0.000 0.000 0.500 Os
0.500 0.500 0.500 W

19.
Sn3OsW (PBE-GGA, optimized geometry); energy above the most stable polymorph in this dataset = 0.0000 eV per atom; DFT formation energy = 1.327 eV/atom
1.0
5.108 0.000 0.000
0.000 5.108 0.000
0.000 0.000 5.108
Sn Os W
3 1 1
direct
0.000 0.000 0.500 Sn
0.000 0.500 0.000 Sn
0.500 0.000 0.000 Sn
0.000 0.000 0.000 Os
0.500 0.500 0.500 W

20.
Sn3OsW (PBE-GGA, optimized geometry); energy above the most stable polymorph in this dataset = 0.2189 eV per atom; DFT formation energy = 1.546 eV/atom
1.0
5.209 0.000 0.000
0.000 5.209 0.000
0.000 0.000 5.209
Sn Os W
3 1 1
direct
0.000 0.000 0.500 Sn
0.000 0.500 0.000 Sn
0.500 0.000 0.000 Sn
0.500 0.500 0.500 Os
0.000 0.000 0.000 W